(1)
Compound: Pa2AlAu2
Source: Alexandria
Functional: GGA-PBE
Structure: optimized geometry

E = -62.6 eV per cell

a b c (Å): 4.803 13.745 3.156
angles (deg): 90.00 90.00 90.00
Fractional coordinates of all 10 atoms:
Pa1 0.000 0.102 0.000
Pa2 0.000 0.898 0.000
Pa3 0.500 0.398 0.000
Pa4 0.500 0.602 0.000
Al1 0.000 0.500 0.500
Al2 0.500 0.000 0.500
Au1 0.000 0.306 0.500
Au2 0.000 0.694 0.500
Au3 0.500 0.194 0.500
Au4 0.500 0.806 0.500

---

(2)
Compound: Th6Si2HgSe3
Source: Alexandria
Functional: GGA-PBE
Structure: optimized geometry

E = -78.5 eV per cell
Formation energy without anion corrections = -1035 meV/atom

a b c (Å): 9.513 9.513 8.606
angles (deg): 101.29 101.29 25.87
Fractional coordinates of all 12 atoms:
Th1 0.005 0.005 0.261
Th2 0.329 0.329 0.901
Th3 0.330 0.330 0.424
Th4 0.670 0.670 0.576
Th5 0.671 0.671 0.099
Th6 0.995 0.995 0.739
Si1 0.168 0.168 0.335
Si2 0.832 0.832 0.665
Hg1 0.500 0.500 0.000
Se1 0.164 0.164 0.835
Se2 0.500 0.500 0.500
Se3 0.836 0.836 0.165

---

(3)
Compound: As3C5
Source: Alexandria
Functional: GGA-PBE
Structure: optimized geometry

E = -86.4 eV per cell
Polymorph energy (0 for the lowest one) = 0.822 eV/atom

a b c (Å): 5.706 16.390 2.690
angles (deg): 90.00 90.00 90.00
Fractional coordinates of all 16 atoms:
As1 0.000 0.000 0.000
As2 0.000 0.224 0.500
As3 0.000 0.776 0.500
As4 0.500 0.276 0.500
As5 0.500 0.500 0.000
As6 0.500 0.724 0.500
C1 0.000 0.500 0.000
C2 0.169 0.500 0.500
C3 0.250 0.250 0.000
C4 0.250 0.750 0.000
C5 0.331 0.000 0.500
C6 0.500 0.000 0.000
C7 0.669 0.000 0.500
C8 0.750 0.250 0.000
C9 0.750 0.750 0.000
C10 0.831 0.500 0.500